This record from Alexandria describes a geometry-optimized Y6SiS4 structure. The functional is GGA-PBE. Values from VASP.

```
&SYSTEM
  ibrav = 0, nat = 22, ntyp = 3
/
ATOMIC_SPECIES
Y 88.91 Y.upf
Si 28.09 Si.upf
S 32.06 S.upf
CELL_PARAMETERS angstrom
1.976 -6.402 0.000
1.976 6.402 0.000
0.000 0.000 19.816
ATOMIC_POSITIONS crystal
Y 0.000 0.000 0.000
Y 0.000 0.000 0.500
Y 0.171 0.829 0.750
Y 0.273 0.727 0.088
Y 0.273 0.727 0.412
Y 0.449 0.551 0.665
Y 0.449 0.551 0.835
Y 0.551 0.449 0.165
Y 0.551 0.449 0.335
Y 0.727 0.273 0.588
Y 0.727 0.273 0.912
Y 0.829 0.171 0.250
Si 0.167 0.833 0.250
Si 0.833 0.167 0.750
S 0.089 0.911 0.625
S 0.089 0.911 0.875
S 0.361 0.639 0.540
S 0.361 0.639 0.960
S 0.639 0.361 0.040
S 0.639 0.361 0.460
S 0.911 0.089 0.125
S 0.911 0.089 0.375
```

Computed properties:
Space group ... Cmcm (63)
Magnetization ... 0.0 Bohr magnetons per cell
Formation energy without anion corrections ... -1.63 eV per atom


This record from Alexandria describes a geometry-optimized Be3ReC structure. The functional is GGA-PBE. Values from VASP.

```
&SYSTEM
  ibrav = 0, nat = 5, ntyp = 3
/
ATOMIC_SPECIES
Be 9.01 Be.upf
Re 186.21 Re.upf
C 12.01 C.upf
CELL_PARAMETERS angstrom
4.226 0.000 0.000
0.000 4.226 0.000
0.000 0.000 4.226
ATOMIC_POSITIONS crystal
Be 0.000 0.000 0.500
Be 0.000 0.500 0.000
Be 0.500 0.000 0.000
Re 0.000 0.000 0.000
C 0.500 0.500 0.500
```

Computed properties:
Offset from the most stable computed form ... 1704 meV per atom
Space group ... Pm-3m (221)
E_form ... 2401 meV/atom
Magnetization ... 0.0 Bohr magnetons per cell


This record from Alexandria describes a geometry-optimized Ba2BiPd2 structure. The functional is GGA-PBE. Values from VASP.

```
&SYSTEM
  ibrav = 0, nat = 5, ntyp = 3
/
ATOMIC_SPECIES
Ba 137.33 Ba.upf
Bi 208.98 Bi.upf
Pd 106.42 Pd.upf
CELL_PARAMETERS angstrom
-3.140 3.140 4.143
3.140 -3.140 4.143
3.140 3.140 -4.143
ATOMIC_POSITIONS crystal
Ba 0.250 0.750 0.500
Ba 0.750 0.250 0.500
Bi 0.000 0.000 0.000
Pd 0.341 0.341 0.000
Pd 0.659 0.659 0.000
```

Computed properties:
Offset from the most stable computed form ... 143 meV per atom
Space group ... I4/mmm (139)
E_form ... -533 meV/atom
Magnetization ... 0.0 Bohr magnetons per cell


This record from Alexandria describes a geometry-optimized Y2Be2Os structure. The functional is GGA-PBE. Values from VASP.

```
&SYSTEM
  ibrav = 0, nat = 10, ntyp = 3
/
ATOMIC_SPECIES
Y 88.91 Y.upf
Be 9.01 Be.upf
Os 190.23 Os.upf
CELL_PARAMETERS angstrom
6.527 0.000 0.000
0.000 6.527 0.000
0.000 0.000 4.139
ATOMIC_POSITIONS crystal
Y 0.188 0.312 0.000
Y 0.312 0.812 0.000
Y 0.688 0.188 0.000
Y 0.812 0.688 0.000
Be 0.121 0.621 0.500
Be 0.379 0.121 0.500
Be 0.621 0.879 0.500
Be 0.879 0.379 0.500
Os 0.000 0.000 0.500
Os 0.500 0.500 0.500
```

Computed properties:
Offset from the most stable computed form ... 0 meV per atom
Space group ... P4/mbm (127)
E_form ... 55 meV/atom
Magnetization ... 0.0 Bohr magnetons per cell


This record from Alexandria describes a geometry-optimized Nb2V2Au structure. The functional is GGA-PBE. Values from VASP.

```
&SYSTEM
  ibrav = 0, nat = 10, ntyp = 3
/
ATOMIC_SPECIES
Nb 92.91 Nb.upf
V 50.94 V.upf
Au 196.97 Au.upf
CELL_PARAMETERS angstrom
-2.204 6.570 2.987
2.204 -6.570 2.987
2.204 6.570 -2.987
ATOMIC_POSITIONS crystal
Nb 0.215 0.106 0.109
Nb 0.497 0.106 0.391
Nb 0.503 0.894 0.609
Nb 0.785 0.894 0.891
V 0.082 0.640 0.442
V 0.302 0.360 0.942
V 0.698 0.640 0.058
V 0.918 0.360 0.558
Au 0.228 0.478 0.750
Au 0.772 0.522 0.250
```

Computed properties:
Offset from the most stable computed form ... 58 meV per atom
Space group ... Imma (74)
E_form ... 174 meV/atom
Magnetization ... 0.0 Bohr magnetons per cell


This record from Alexandria describes a geometry-optimized Li2Ge2Pd structure. The functional is GGA-PBE. Values from VASP.

```
&SYSTEM
  ibrav = 0, nat = 10, ntyp = 3
/
ATOMIC_SPECIES
Li 6.94 Li.upf
Ge 72.64 Ge.upf
Pd 106.42 Pd.upf
CELL_PARAMETERS angstrom
6.709 0.000 0.000
0.000 6.709 0.000
0.000 0.000 3.334
ATOMIC_POSITIONS crystal
Li 0.135 0.365 0.000
Li 0.365 0.865 0.000
Li 0.635 0.135 0.000
Li 0.865 0.635 0.000
Ge 0.167 0.667 0.500
Ge 0.333 0.167 0.500
Ge 0.667 0.833 0.500
Ge 0.833 0.333 0.500
Pd 0.000 0.000 0.000
Pd 0.500 0.500 0.000
```

Computed properties:
Space group ... P4/mbm (127)
E_form ... -154 meV/atom
Magnetization ... 0.0 Bohr magnetons per cell